Record 1
DFT (GGA-PBEsol) results for a geometry-optimized AlMoW2 structure.

Formation energy from the elements, meV per atom: 282

abc: 2.784 2.784 9.395
angles: 81.48 81.48 60.00
Positions (direct):
W 0.249 0.249 0.254
W 0.751 0.751 0.746
Al 0.500 0.500 0.500
Mo 0.000 0.000 0.000

***

Record 2
DFT (GGA-PBEsol) results for a geometry-optimized Be2Zn2Cd structure.

Formation energy from the elements, meV per atom: 331

abc: 3.383 3.383 6.482
angles: 105.13 105.13 90.00
Positions (direct):
Zn 0.386 0.386 0.771
Zn 0.614 0.614 0.229
Be 0.750 0.250 0.500
Be 0.250 0.750 0.500
Cd 0.000 0.000 0.000

***

Record 3
DFT (GGA-PBEsol) results for a geometry-optimized Mg2ReRu structure.

Formation energy from the elements, meV per atom: 326
Relative energy among the computed polymorphs, meV per atom: 278

abc: 2.791 2.791 9.223
angles: 81.30 81.30 60.00
Positions (direct):
Ru 0.000 0.000 0.000
Mg 0.747 0.747 0.758
Mg 0.253 0.253 0.242
Re 0.500 0.500 0.500

***

Record 4
DFT (GGA-PBEsol) results for a geometry-optimized CsTeRuN2 structure.

Raw formation energy, kJ/mol of formula units: 1346

abc: 4.127 4.127 7.004
angles: 90.00 90.00 90.00
Positions (direct):
N 0.500 0.000 0.000
N 0.000 0.500 0.000
Ru 0.500 0.500 0.500
Cs 0.000 0.000 0.000
Te 0.000 0.000 0.500

***

Record 5
DFT (GGA-PBEsol) results for a geometry-optimized PtAu2 structure.

Formation energy from the elements, meV per atom: 36
Relative energy among the computed polymorphs, meV per atom: 0

abc: 2.830 2.830 6.397
angles: 102.78 102.78 90.00
Positions (direct):
Au 0.664 0.664 0.328
Au 0.336 0.336 0.672
Pt 0.000 0.000 0.000

***

Record 6
DFT (GGA-PBEsol) results for a geometry-optimized CaSiP2O structure.

Raw formation energy, kJ/mol of formula units: 378

abc: 3.992 5.170 5.170
angles: 90.00 90.00 90.00
Positions (direct):
Si 0.500 0.500 0.500
Ca 0.000 0.000 0.000
P 0.000 0.500 0.000
P 0.000 0.000 0.500
O 0.500 0.000 0.000

***

Record 7
DFT (GGA-PBEsol) results for a geometry-optimized RbFeCl3 structure.

Raw formation energy, kJ/mol of formula units: -591

abc: 5.642 7.031 7.031
angles: 120.00 90.00 90.00
Positions (direct):
Cl 0.750 0.837 0.163
Cl 0.750 0.326 0.163
Cl 0.750 0.837 0.674
Cl 0.250 0.163 0.837
Cl 0.250 0.674 0.837
Cl 0.250 0.163 0.326
Rb 0.750 0.333 0.667
Rb 0.250 0.667 0.333
Fe 0.000 0.000 0.000
Fe 0.500 0.000 0.000

***

Record 8
DFT (GGA-PBEsol) results for a geometry-optimized Hf2BMoCl structure.

Raw formation energy, kJ/mol of formula units: 387

abc: 3.849 4.664 4.664
angles: 90.00 90.00 90.00
Positions (direct):
Hf 0.000 0.500 0.000
Hf 0.000 0.000 0.500
Cl 0.500 0.000 0.000
Mo 0.500 0.500 0.500
B 0.000 0.000 0.000

***

Record 9
DFT (GGA-PBEsol) results for a geometry-optimized CaHgIr2 structure.

Formation energy from the elements, meV per atom: 197

abc: 2.861 4.772 5.209
angles: 90.00 96.75 90.00
Positions (direct):
Ca 0.500 0.500 0.000
Ir 0.185 0.000 0.274
Ir 0.815 0.000 0.726
Hg 0.000 0.500 0.500

***

Record 10
DFT (GGA-PBEsol) results for a geometry-optimized Mn2NiP structure.

Formation energy from the elements, meV per atom: -121

abc: 2.586 3.433 4.906
angles: 90.00 90.00 90.00
Positions (direct):
Ni 0.500 0.500 0.000
P 0.500 0.500 0.500
Mn 0.000 0.000 0.746
Mn 0.000 0.000 0.254

***

Record 11
DFT (GGA-PBEsol) results for a geometry-optimized LaTi3N structure.

Raw formation energy, kJ/mol of formula units: -220

abc: 4.287 4.287 4.287
angles: 90.00 90.00 90.00
Positions (direct):
Ti 0.500 0.000 0.000
Ti 0.000 0.500 0.000
Ti 0.000 0.000 0.500
N 0.000 0.000 0.000
La 0.500 0.500 0.500

***

Record 12
DFT (GGA-PBEsol) results for a geometry-optimized SiTc3 structure.

Raw formation energy, kJ/mol of formula units: -117
Relative energy among the computed polymorphs, meV per atom: 0

abc: 2.942 4.263 4.978
angles: 115.35 107.19 90.00
Positions (direct):
Si 0.000 0.500 0.000
Tc 0.500 0.000 0.000
Tc 0.735 0.735 0.469
Tc 0.265 0.265 0.531

***

Record 13
DFT (GGA-PBEsol) results for a geometry-optimized BaZn3Pt structure.

Formation energy from the elements, meV per atom: 1639
Relative energy among the computed polymorphs, meV per atom: 2055

abc: 5.643 5.643 5.643
angles: 90.00 90.00 90.00
Positions (direct):
Zn 0.000 0.000 0.500
Zn 0.000 0.500 0.000
Zn 0.500 0.000 0.000
Ba 0.000 0.000 0.000
Pt 0.500 0.500 0.500

***

| no. | spin magnetization (Bohr magnetons per cell) | density (g cm⁻³) | total energy (eV/atom) |
| --- | --- | --- | --- |
| 1 | 0.0 | 13.1 | -10.586 |
| 2 | 0.0 | 6.3 | -2.141 |
| 3 | 0.0 | 9.1 | -6.409 |
| 4 | 3.5 | 5.4 | -3.549 |
| 5 | 0.0 | 20.1 | -4.901 |
| 6 | 0.0 | 2.3 | -4.159 |
| 7 | 8.0 | 3.4 | -4.427 |
| 8 | 0.0 | 9.9 | -7.558 |
| 9 | 0.0 | 14.7 | -5.389 |
| 10 | 4.8 | 7.6 | -7.989 |
| 11 | 0.0 | 6.2 | -8.224 |
| 12 | 0.0 | 10.0 | -10.189 |
| 13 | 0.0 | 4.9 | -1.133 |